A plane-wave DFT calculation with PBE was carried out for a relaxed NdYPCl crystal.

CIF file:
```
data_NdYPCl
_chemical_formula_sum 'Nd1 Y1 P1 Cl1'
_cell_length_a 7.487
_cell_length_b 7.487
_cell_length_c 7.487
_cell_angle_alpha 31.02
_cell_angle_beta 31.02
_cell_angle_gamma 31.02
_symmetry_space_group_name_H-M 'P 1'
_symmetry_Int_Tables_number 1
loop_
_symmetry_equiv_pos_as_xyz
'x,y,z'
loop_
_atom_site_label
_atom_site_fract_x
_atom_site_fract_y
_atom_site_fract_z
Nd1 0.000 0.000 0.000
Y1 0.807 0.807 0.807
P1 0.409 0.409 0.409
Cl1 0.233 0.233 0.233
```

symmetry	R3m (160)
crystal system	trigonal
uncorrected energy	-6.19	eV/atom
total moment	0.000	μB per formula unit
DOS(E_F)	0.25	states/eV per atom